AlCl2: relaxed, PBE-GGA.

Cell lengths 3.3103, 6.8884, 14.5820 Å; angles 90.00, 90.00, 90.00 degrees
Last column: nearest neighbours and their distance in Å.
Positions (direct):
Al: 0.0000 0.0000 0.0000  4 Cl 2.38
Al: 0.0000 0.5000 0.5000  4 Cl 2.38
Al: 0.5000 0.0000 0.5000  4 Cl 2.38
Al: 0.5000 0.5000 0.0000  4 Cl 2.38
Cl: 0.0000 0.0000 0.3826  2 Al 2.38
Cl: 0.0000 0.0000 0.6174  2 Al 2.38
Cl: 0.0000 0.5000 0.1174  2 Al 2.38
Cl: 0.0000 0.5000 0.8826  2 Al 2.38
Cl: 0.5000 0.0000 0.1174  2 Al 2.38
Cl: 0.5000 0.0000 0.8826  2 Al 2.38
Cl: 0.5000 0.5000 0.3826  2 Al 2.38
Cl: 0.5000 0.5000 0.6174  2 Al 2.38

Summary:
The value obtained for the electronic total energy is -38.460 eV/cell. The magnetic moment is 0.97 μB per formula unit. As for the crystal system: orthorhombic. As for the symmetry: Fmmm, No. 69. Its calculated volume is 332.5 Å³ per cell.